(1)
ZrFe8Re3 | Alexandria via LeMat-Bulk | PBE | optimized geometry; volume = 149.14 Å³/f.u.; density of states at the Fermi level = 0.99 states/eV per atom; formation energy from the elements = -0.04 eV/atom; energy = -9.51 eV/atom
1.0
4.689 0.000 0.000
-2.344 4.061 0.000
0.000 0.000 7.833
Fe Re Zr
8 3 1
Direct
0.164 0.328 0.248
0.503 0.497 0.757
0.672 0.836 0.248
0.333 0.667 0.499
0.994 0.497 0.757
0.503 0.006 0.757
0.164 0.836 0.248
0.333 0.667 0.002
0.000 0.000 0.946
0.667 0.333 0.062
0.667 0.333 0.409
0.000 0.000 0.568

=====

(2)
Zr2Mn2As | Alexandria via LeMat-Bulk | PBE | optimized geometry; volume = 82.42 Å³/f.u.; density of states at the Fermi level = 1.26 states/eV per atom; formation energy from the elements = -0.24 eV/atom; energy = -8.26 eV/atom
1.0
-0.624 -3.511 4.989
-2.881 -4.252 -3.352
3.843 -1.918 -0.870
Zr As Mn
4 2 4
Direct
0.817 0.317 0.500
0.683 0.817 0.500
0.183 0.683 0.500
0.317 0.183 0.500
0.500 0.500 0.000
0.000 0.000 0.000
0.617 0.117 0.000
0.117 0.383 0.000
0.383 0.883 0.000
0.883 0.617 0.000

=====

(3)
La2RePb | Alexandria via LeMat-Bulk | PBE | optimized geometry; volume = 120.51 Å³/f.u.; density of states at the Fermi level = 1.33 states/eV per atom; formation energy from the elements = 0.23 eV/atom; energy = -6.27 eV/atom
1.0
4.255 0.013 0.003
2.847 3.162 0.003
1.111 0.497 8.984
Pb Re La
1 1 2
Direct
0.750 0.750 0.750
0.250 0.250 0.250
0.991 0.991 0.057
0.509 0.509 0.443

=====

(4)
RbIn2NiMo | Alexandria via LeMat-Bulk | PBE | optimized geometry; volume = 167.97 Å³/f.u.; density of states at the Fermi level = 1.87 states/eV per atom; formation energy from the elements = 1.40 eV/atom; energy = -3.21 eV/atom
1.0
5.234 0.000 0.000
0.000 6.133 0.000
0.000 0.000 5.234
Rb In Mo Ni
1 2 1 1
Direct
0.000 0.500 0.000
0.500 0.000 0.000
0.000 0.000 0.500
0.000 0.000 0.000
0.500 0.500 0.500

=====

(5)
SmEu2Tm | Alexandria via LeMat-Bulk | PBE | optimized geometry; volume = 142.13 Å³/f.u.; energy above the most stable polymorph in this dataset = 48 meV/atom; density of states at the Fermi level = 1.29 states/eV per atom; formation energy from the elements = 0.16 eV/atom; energy = -7.27 eV/atom
1.0
-5.204 -2.131 1.641
-0.658 -2.341 5.329
-3.164 2.799 4.058
Tm Eu Sm
1 2 1
Direct
0.000 0.000 0.000
0.250 0.250 0.250
0.750 0.750 0.750
0.500 0.500 0.500

=====

(6)
TbTh3H8 | Alexandria via LeMat-Bulk | PBE | optimized geometry; volume = 157.59 Å³/f.u.; density of states at the Fermi level = 0.08 states/eV per atom; energy = -5.04 eV/atom
1.0
5.401 0.000 0.000
0.000 5.401 0.000
0.000 0.000 5.401
H Th Tb
8 3 1
Direct
0.756 0.756 0.756
0.244 0.244 0.244
0.244 0.244 0.756
0.244 0.756 0.756
0.756 0.244 0.244
0.756 0.244 0.756
0.756 0.756 0.244
0.244 0.756 0.244
0.500 0.000 0.500
0.500 0.500 0.000
0.000 0.500 0.500
0.000 0.000 0.000